Record 1
DFT (GGA-PBE) results for crystalline BaTlMoCl6 at its relaxed geometry.

Cell and atoms, written as extended XYZ:
```
18
Lattice="7.4420 0.0000 0.0000 -3.7210 6.4449 0.0000 0.0000 0.0000 12.7479" Properties=species:S:1:pos:R:3 pbc="T T T"
Cl 4.7112 0.4014 4.6336
Cl 5.7289 2.1642 1.7404
Cl 2.0079 4.2807 8.1143
Cl -0.9902 6.0435 8.1143
Cl 1.7130 2.1642 4.6336
Cl 4.7387 3.8793 4.6336
Cl 2.7032 3.8793 1.7404
Cl 1.0177 2.5656 11.0075
Cl -1.0177 2.5656 8.1143
Cl 0.9902 6.0435 11.0075
Cl 2.7308 0.4014 1.7404
Cl -2.0079 4.2807 11.0075
Mo 3.7210 2.1483 3.1870
Mo 0.0000 4.2966 9.5609
Tl 0.0000 0.0000 6.3740
Tl 0.0000 0.0000 0.0000
Ba 3.7210 2.1483 9.5609
Ba 0.0000 4.2966 3.1870
```

total magnetic moment	3.00	μB per formula unit
energy	-39.078	eV per formula unit
ΔE_f (raw)	-1431	meV per atom
mass density	3.5	g/cm³



Record 2
DFT (GGA-PBE) results for crystalline Cr3SiAg at its relaxed geometry.

Cell and atoms, written as extended XYZ:
```
5
Lattice="-4.1586 1.8226 0.8233 -1.8217 -2.6683 -3.2946 -0.8252 -3.2942 3.1242" Properties=species:S:1:pos:R:3 pbc="T T T"
Si 0.0000 0.0000 0.0000
Ag -3.4028 -2.0700 0.3265
Cr -2.0793 0.9113 0.4117
Cr -0.4126 -1.6471 1.5621
Cr -0.9109 -1.3342 -1.6473
```

total magnetic moment	11.02	μB per formula unit
energy	-32.400	eV per formula unit
ΔE_f (raw)	949	meV per atom
density of states at the Fermi level	3.5	states/eV/f.u.
mass density	4.9	g/cm³



Record 3
DFT (GGA-PBE) results for crystalline AlPPb2 at its relaxed geometry.

Cell and atoms, written as extended XYZ:
```
4
Lattice="-0.9787 -3.5495 -1.1344 3.3257 -0.4270 -1.5332 5.1591 -2.9185 4.6809" Properties=species:S:1:pos:R:3 pbc="T T T"
Pb 8.3521 -3.2922 3.0954
Pb 4.3752 -1.7261 1.6263
P 5.8743 -4.2839 1.7936
Al 1.6319 -2.6112 0.2197
```

total magnetic moment	0.00	μB per formula unit
energy	-15.215	eV per formula unit
ΔE_f	0.339	eV/atom
density of states at the Fermi level	1.9	states/eV/f.u.
mass density	8.0	g/cm³



Record 4
DFT (GGA-PBE) results for crystalline SrLiNdO3 at its relaxed geometry.

Cell and atoms, written as extended XYZ:
```
12
Lattice="3.5051 0.0000 0.0000 0.0000 7.3794 0.3614 0.0000 -1.5756 7.0175" Properties=species:S:1:pos:R:3 pbc="T T T"
Nd 2.6288 1.2729 5.8133
Nd 0.8763 4.5310 1.5656
O 2.6288 0.5000 3.6014
O 2.6288 2.8863 1.2573
O 0.8763 -0.3769 6.0752
O 2.6288 6.1808 1.3037
O 0.8763 2.9176 6.1216
O 0.8763 5.3039 3.7775
Li 0.8763 -0.3377 4.1543
Li 2.6288 6.1415 3.2247
Sr 2.6288 4.8877 5.7966
Sr 0.8763 0.9161 1.5823
```

total magnetic moment	0.00	μB per formula unit
energy	-39.492	eV per formula unit
ΔE_f (raw)	-2709	meV per atom
density of states at the Fermi level	0.0	states/eV/f.u.
mass density	5.2	g/cm³



Record 5
DFT (GGA-PBE) results for crystalline KNpP2O8 at its relaxed geometry.

Cell and atoms, written as extended XYZ:
```
12
Lattice="-4.2296 0.3564 -3.0848 0.4749 -1.9942 -4.8302 -2.7642 -7.4613 2.5979" Properties=species:S:1:pos:R:3 pbc="T T T"
K -1.3821 -3.7307 1.2989
O -3.1501 -1.9043 -5.9261
O -5.0387 -6.3347 -1.0509
O -2.8257 -5.0824 -0.7717
O -3.6933 -4.0167 -4.5455
O -2.8996 -7.4035 -1.8445
O -3.3689 -7.1948 0.6090
O -1.4802 -2.7644 -4.2662
O -3.6193 -1.6957 -3.4726
Np 0.0000 0.0000 0.0000
P -3.4915 -6.4145 -0.7726
P -3.0274 -2.6847 -4.5445
```

total magnetic moment	2.00	μB per formula unit
energy	-93.948	eV per formula unit
ΔE_f (raw)	-2452	meV per atom
density of states at the Fermi level	5.2	states/eV/f.u.
mass density	3.7	g/cm³



Record 6
DFT (GGA-PBE) results for crystalline Rb3Ce3CoS8 at its relaxed geometry.

Cell and atoms, written as extended XYZ:
```
15
Lattice="8.0136 0.0000 0.0000 -4.0068 6.9371 -0.0267 0.0000 -4.5944 7.8272" Properties=species:S:1:pos:R:3 pbc="T T T"
S 1.8053 -1.2600 2.5581
S -2.2016 3.6028 5.2423
S 2.2015 3.6027 5.2423
S 0.0000 -0.2143 5.2537
S 0.0000 2.3216 2.3440
S 4.0068 2.5570 2.5467
S 4.0068 0.0212 5.4564
S 6.2084 -1.2600 2.5581
Ce 4.0068 -2.2972 3.9136
Ce 2.0034 1.1714 3.9002
Ce -2.0034 1.1714 3.9002
Co 0.0000 -2.2972 3.9136
Rb 0.0000 0.0000 0.0000
Rb 2.0034 3.4686 -0.0134
Rb -2.0034 3.4686 -0.0133
```

total magnetic moment	2.04	μB per formula unit
energy	-81.849	eV per formula unit
ΔE_f (raw)	-1401	meV per atom
density of states at the Fermi level	13.8	states/eV/f.u.
mass density	3.8	g/cm³



Record 7
DFT (GGA-PBE) results for crystalline Y3Ho4Tm2 at its relaxed geometry.

Cell and atoms, written as extended XYZ:
```
18
Lattice="-4.8854 3.2230 -1.7218 -7.9822 1.9390 7.5945 -1.1100 10.4081 3.9485" Properties=species:S:1:pos:R:3 pbc="T T T"
Y -4.4943 5.2924 0.2908
Y -9.4832 10.2777 9.5304
Y -7.5412 9.4151 4.1253
Y -3.3898 2.0318 1.8617
Y -6.4363 6.1550 5.6959
Y -10.5877 13.5383 7.9596
Ho -4.4904 10.5009 2.9342
Ho -6.4146 4.2093 2.8476
Ho -11.9612 10.5623 7.1502
Ho -6.9716 2.8214 6.4074
Ho -2.0164 5.0078 2.6710
Ho -7.0060 12.7487 3.4138
Ho -9.4872 5.0692 6.8871
Ho -7.5629 11.3608 6.9736
Tm -4.5454 7.2494 3.1503
Tm -5.0488 9.1009 6.5022
Tm -9.4322 8.3207 6.6710
Tm -8.9288 6.4691 3.3190
```

total magnetic moment	0.00	μB per formula unit
energy	-45.707	eV per formula unit
ΔE_f	0.104	eV/atom
density of states at the Fermi level	14.0	states/eV/f.u.
mass density	7.5	g/cm³



Record 8
DFT (GGA-PBE) results for crystalline Ac4CoPtCl2 at its relaxed geometry.

Cell and atoms, written as extended XYZ:
```
8
Lattice="-0.3759 4.1162 1.1660 -7.2079 -0.0183 -2.2594 0.1941 -2.2586 8.0363" Properties=species:S:1:pos:R:3 pbc="T T T"
Ac -1.8354 -1.8137 5.8112
Ac -5.4623 0.2430 5.2907
Ac -5.1784 -0.4632 -0.0342
Ac -1.9274 1.5964 1.6523
Co -3.7919 2.0490 -0.5467
Pt 0.0000 0.0000 0.0000
Cl -3.5069 -1.1384 2.8885
Cl -0.0909 0.9288 4.6011
```

total magnetic moment	0.00	μB per formula unit
energy	-42.444	eV per formula unit
ΔE_f (raw)	-1146	meV per atom
density of states at the Fermi level	3.7	states/eV/f.u.
mass density	7.9	g/cm³